Entry 1:
The following is a DFT calculation (GGA-PBE) of a geometry-optimized TaCo3N structure.

The structure in CIF format:
```
data_TaCo3N
_cell_length_a 3.8109
_cell_length_b 3.8109
_cell_length_c 3.8109
_cell_angle_alpha 90.00
_cell_angle_beta 90.00
_cell_angle_gamma 90.00
_space_group_name_H-M_alt 'P m -3 m'
_space_group_IT_number 221
_space_group_name_Hall '-P 4 2 3'
loop_
_atom_site_label
_atom_site_fract_x
_atom_site_fract_y
_atom_site_fract_z
_atom_site_occupancy
Ta1 0.0000 0.0000 0.0000 1
Co1 0.0000 0.5000 0.5000 1
N1 0.5000 0.5000 0.5000 1
```

Output
energy relative to the elements, uncorrected	0.043	eV/atom
distance to the lowest polymorph of the same formula	0.00	eV per formula unit
D(E_F)	7.53	states/eV per cell



Entry 2:
The following is a DFT calculation (GGA-PBE) of a geometry-optimized Sm3MgTl2 structure.

The structure in CIF format:
```
data_Sm3MgTl2
_cell_length_a 3.8363
_cell_length_b 3.8363
_cell_length_c 11.6981
_cell_angle_alpha 90.00
_cell_angle_beta 90.00
_cell_angle_gamma 90.00
_space_group_name_H-M_alt 'P 4/m m m'
_space_group_IT_number 123
_space_group_name_Hall '-P 4 2'
loop_
_atom_site_label
_atom_site_fract_x
_atom_site_fract_y
_atom_site_fract_z
_atom_site_occupancy
Sm1 0.0000 0.0000 0.0000 1
Sm2 0.0000 0.0000 0.3396 1
Mg1 0.5000 0.5000 0.5000 1
Tl1 0.5000 0.5000 0.1747 1
```

Output
distance to the lowest polymorph of the same formula	0.07	eV per formula unit
D(E_F)	6.36	states/eV per cell
ΔE_f	-0.288	eV per atom



Entry 3:
The following is a DFT calculation (GGA-PBE) of a geometry-optimized Pb2Cl13 structure.

The structure in CIF format:
```
data_Pb2Cl13
_cell_length_a 6.8580
_cell_length_b 9.8594
_cell_length_c 9.8848
_cell_angle_alpha 80.75
_cell_angle_beta 82.70
_cell_angle_gamma 83.98
_space_group_name_H-M_alt 'P -1'
_space_group_IT_number 2
loop_
_space_group_symop_operation_xyz
'x,y,z'
'-x,-y,-z'
loop_
_atom_site_label
_atom_site_fract_x
_atom_site_fract_y
_atom_site_fract_z
_atom_site_occupancy
Pb1 0.1422 0.1367 0.1918 1
Cl1 0.0000 0.0000 0.5000 1
Cl2 0.1467 0.9023 0.1486 1
Cl3 0.1515 0.5443 0.3821 1
Cl4 0.1789 0.7375 0.7873 1
Cl5 0.3348 0.1440 0.3853 1
Cl6 0.3350 0.2622 0.9977 1
Cl7 0.4366 0.5370 0.3057 1
```

Output
energy relative to the elements, uncorrected	-0.333	eV/atom
distance to the lowest polymorph of the same formula	0.31	eV per formula unit



Entry 4:
The following is a DFT calculation (GGA-PBE) of a geometry-optimized BePPb2C structure.

The structure in CIF format:
```
data_BePPb2C
_cell_length_a 5.4782
_cell_length_b 5.4782
_cell_length_c 3.2758
_cell_angle_alpha 90.00
_cell_angle_beta 90.00
_cell_angle_gamma 90.00
_space_group_name_H-M_alt 'P 4/m m m'
_space_group_IT_number 123
_space_group_name_Hall '-P 4 2'
loop_
_atom_site_label
_atom_site_fract_x
_atom_site_fract_y
_atom_site_fract_z
_atom_site_occupancy
Be1 0.0000 0.0000 0.0000 1
P1 0.5000 0.5000 0.5000 1
Pb1 0.0000 0.5000 0.0000 1
C1 0.0000 0.0000 0.5000 1
```

Output
D(E_F)	2.74	states/eV per cell
ΔE_f	0.777	eV per atom



Entry 5:
The following is a DFT calculation (GGA-PBE) of a geometry-optimized BeRhSe2 structure.

The structure in CIF format:
```
data_BeRhSe2
_cell_length_a 3.3894
_cell_length_b 3.4047
_cell_length_c 7.9140
_cell_angle_alpha 90.00
_cell_angle_beta 90.00
_cell_angle_gamma 90.00
_space_group_name_H-M_alt 'P m m m'
_space_group_IT_number 47
loop_
_space_group_symop_operation_xyz
'x,y,z'
'-x,-y,-z'
'-x,-y,z'
'x,y,-z'
'x,-y,-z'
'-x,y,z'
'-x,y,-z'
'x,-y,z'
loop_
_atom_site_label
_atom_site_fract_x
_atom_site_fract_y
_atom_site_fract_z
_atom_site_occupancy
Be1 0.0000 0.0000 0.0000 1
Rh1 0.5000 0.0000 0.5000 1
Se1 0.0000 0.5000 0.5000 1
Se2 0.5000 0.5000 0.0000 1
```

Output
energy relative to the elements, uncorrected	0.238	eV/atom
D(E_F)	2.44	states/eV per cell



Entry 6:
The following is a DFT calculation (GGA-PBE) of a geometry-optimized InAg3Mo structure.

The structure in CIF format:
```
data_InAg3Mo
_cell_length_a 5.1143
_cell_length_b 5.1143
_cell_length_c 5.1143
_cell_angle_alpha 90.00
_cell_angle_beta 90.00
_cell_angle_gamma 90.00
_space_group_name_H-M_alt 'P m -3 m'
_space_group_IT_number 221
_space_group_name_Hall '-P 4 2 3'
loop_
_atom_site_label
_atom_site_fract_x
_atom_site_fract_y
_atom_site_fract_z
_atom_site_occupancy
In1 0.0000 0.0000 0.0000 1
Ag1 0.0000 0.0000 0.5000 1
Mo1 0.5000 0.5000 0.5000 1
```

Output
distance to the lowest polymorph of the same formula	0.00	eV per formula unit
D(E_F)	1.97	states/eV per cell
ΔE_f	1.292	eV per atom



Number 1: raw total energy -41.3 eV for the cell shown. Number 2: raw total energy -22.2 eV for the cell shown. Number 3: raw total energy -36.4 eV for the cell shown. Number 4: raw total energy -21.9 eV for the cell shown. Number 5: raw total energy -17.1 eV for the cell shown. Number 6: raw total energy -15.7 eV for the cell shown.